No. 1
GGA-PBE Ac6Pm3Sm, relaxed; crystal system = monoclinic; energy relative to the elements = 0.070 eV per atom
1.0
-0.865 3.045 -2.157
-7.870 -7.235 -7.059
-10.017 6.007 12.496
Pm Ac Sm
6 12 2
Cartesian
-6.565 -0.064 0.841 Pm
-11.869 -1.560 -2.545 Pm
-9.770 -2.883 -5.256 Pm
-12.187 1.880 2.439 Pm
-8.982 4.700 8.536 Pm
-6.882 3.376 5.825 Pm
-10.057 0.616 -0.200 Ac
-7.284 -5.401 -6.406 Ac
-5.766 3.503 2.155 Ac
-15.630 0.937 2.488 Ac
-13.578 1.505 5.867 Ac
-5.174 0.312 -2.587 Ac
-10.709 4.235 5.170 Ac
-3.121 0.879 0.792 Ac
-8.695 1.200 3.479 Ac
-8.042 -2.418 -1.891 Ac
-11.467 7.218 9.686 Ac
-12.985 -1.686 1.125 Ac
-12.630 3.721 8.616 Sm
-6.121 -1.904 -5.336 Sm

=====

No. 2
GGA-PBE Cd4SbAsI2, relaxed; crystal system = monoclinic; ΔE_f (raw) = -0.157 eV/atom
1.0
-2.833 0.382 3.123
-5.634 -2.400 -4.817
-0.700 -7.572 0.290
Cd As Sb I
4 1 1 2
Cartesian
-3.626 -6.264 0.347 Cd
-5.542 -3.326 -1.750 Cd
-4.714 -2.079 1.718 Cd
-4.454 -7.510 -3.122 Cd
-4.234 -1.009 -0.847 As
-3.167 -4.986 -2.263 Sb
-1.767 -3.595 1.707 I
-0.700 -7.572 0.290 I

=====

| no. | total energy (eV per cell) |
| --- | --- |
| 1 | -85.84 |
| 2 | -16.79 |